# 1
A plane-wave DFT calculation with PBE was carried out for Al2MoPt after structural relaxation.

Values from the calculation:
* total magnetization: 0.000 Bohr magnetons per cell
* ΔE_f: -0.412 eV per atom
* E_tot: -6.5011 eV per atom
* relative energy among the computed polymorphs: 178 meV/atom
* density of states at the Fermi level: 0.190 states/eV/atom

Unit cell a=2.8646 b=2.8646 c=25.9130 alpha=90.00 beta=90.00 gamma=120.00
Space group R-3m (No. 166, hexagonal axes)
Inequivalent atoms, fractional coordinates:
Al 0.0000 0.0000 0.2479 (multiplicity 6)
Mo 0.0000 0.0000 0.0000 (multiplicity 3)
Pt 0.0000 0.0000 0.5000 (multiplicity 3)

# 2
A plane-wave DFT calculation with PBE was carried out for AlMo2Pt after structural relaxation.

Values from the calculation:
* total magnetization: 0.000 Bohr magnetons per cell
* ΔE_f: -0.360 eV per atom
* E_tot: -8.2211 eV per atom
* density of states at the Fermi level: 0.616 states/eV/atom

Unit cell a=3.6758 b=3.7444 c=4.4632 alpha=90.00 beta=90.00 gamma=90.00
Space group Pmmm (No. 47)
Inequivalent atoms, fractional coordinates:
Al 0.0000 0.0000 0.0000 (multiplicity 1)
Mo 0.0000 0.5000 0.5000 (multiplicity 1)
Mo 0.5000 0.0000 0.5000 (multiplicity 1)
Pt 0.5000 0.5000 0.0000 (multiplicity 1)

# 3
A plane-wave DFT calculation with PBE was carried out for Al2MoPt after structural relaxation.

Values from the calculation:
* total magnetization: 0.000 Bohr magnetons per cell
* ΔE_f: -0.523 eV per atom
* E_tot: -6.6126 eV per atom
* relative energy among the computed polymorphs: 67 meV/atom
* density of states at the Fermi level: 0.367 states/eV/atom

Unit cell a=9.7976 b=2.8191 c=4.6685 alpha=90.00 beta=110.01 gamma=90.00
Space group Cm (No. 8)
Inequivalent atoms, fractional coordinates:
Al 0.0000 0.0000 0.0000 (multiplicity 2)
Al 0.2390 0.0000 0.5986 (multiplicity 2)
Mo 0.4894 0.0000 0.5021 (multiplicity 2)
Pt 0.2440 0.5000 0.0902 (multiplicity 2)